Entry from the Alexandria database: crystalline La2PmCd6 at its relaxed geometry (GGA-PBE).

Results
D(E_F) ... 7.854 states/eV per cell
Formation energy ... -35.0 kJ per mole of atoms
Final energy ... -23.36 eV/f.u.

Cell: 3.495 8.872 8.872 Å, 120.00 90.00 90.00°
Site moments in Bohr magnetons follow the coordinates.
Positions (direct):
Cd1 0.500 0.669 0.669  0.00
Cd2 0.500 0.331 0.331  0.00
Cd3 0.500 0.000 0.331  0.00
Cd4 0.500 0.669 0.000  0.00
Cd5 0.500 0.331 0.000  0.00
Cd6 0.500 0.000 0.669  0.00
La1 0.000 0.667 0.333  0.09
La2 0.000 0.333 0.667  0.09
Pm1 0.000 0.000 0.000  0.04

Entry from the Alexandria database: crystalline La6Pm3Cd at its relaxed geometry (GGA-PBE).

Results
D(E_F) ... 31.825 states/eV per cell
Formation energy ... -2.8 kJ per mole of atoms
Final energy ... -45.03 eV/f.u.

Cell: 5.247 11.356 11.658 Å, 92.07 90.00 90.00°
Positions (direct):
La1 0.250 0.865 0.316
La2 0.250 0.155 0.185
La3 0.750 0.766 0.507
La4 0.750 0.549 0.900
La5 0.250 0.234 0.493
La6 0.250 0.653 0.702
La7 0.250 0.451 0.100
La8 0.750 0.347 0.298
La9 0.750 0.956 0.110
La10 0.250 0.044 0.890
La11 0.750 0.845 0.815
La12 0.750 0.135 0.684
Pm1 0.750 0.449 0.597
Pm2 0.250 0.346 0.794
Pm3 0.750 0.247 0.990
Pm4 0.750 0.654 0.206
Pm5 0.250 0.551 0.403
Pm6 0.250 0.753 0.010
Cd1 0.250 0.944 0.608
Cd2 0.750 0.056 0.392

Entry from the Alexandria database: crystalline La8Pm6Cd at its relaxed geometry (GGA-PBE).

Results
D(E_F) ... 21.227 states/eV per cell
Formation energy ... 7.0 kJ per mole of atoms
Final energy ... -67.75 eV/f.u.

Cell: 6.704 9.537 9.537 Å, 120.00 90.00 90.00°
Positions (direct):
Pm1 0.662 0.651 0.095
Pm2 0.338 0.555 0.651
Pm3 0.662 0.905 0.555
Pm4 0.338 0.349 0.905
Pm5 0.662 0.445 0.349
Pm6 0.338 0.095 0.445
La1 0.177 0.771 0.045
La2 0.869 0.333 0.667
La3 0.177 0.274 0.229
La4 0.131 0.667 0.333
La5 0.823 0.045 0.274
La6 0.823 0.726 0.771
La7 0.823 0.229 0.955
La8 0.177 0.955 0.726
Cd1 0.500 0.000 0.000

Entry from the Alexandria database: crystalline LaPm2Cd5 at its relaxed geometry (GGA-PBE).

Results
D(E_F) ... 5.205 states/eV per cell
Formation energy ... -31.2 kJ per mole of atoms
Final energy ... -21.59 eV/f.u.

Cell: 5.286 5.286 8.570 Å, 107.96 107.96 90.00°
Positions (direct):
Cd1 0.621 0.121 0.242
Cd2 0.500 0.500 0.000
Cd3 0.879 0.379 0.758
Cd4 0.121 0.621 0.242
Cd5 0.379 0.879 0.758
Pm1 0.266 0.266 0.532
Pm2 0.734 0.734 0.468
La1 0.000 0.000 0.000

Entry from the Alexandria database: crystalline LaPm4Cd at its relaxed geometry (GGA-PBE).

Results
D(E_F) ... 8.193 states/eV per cell
Formation energy ... -9.1 kJ per mole of atoms
Final energy ... -25.41 eV/f.u.

Cell: 3.695 3.695 14.428 Å, 90.00 90.00 90.00°
Positions (direct):
Pm1 0.000 0.000 0.357
Pm2 0.500 0.500 0.182
Pm3 0.000 0.000 0.643
Pm4 0.500 0.500 0.818
Cd1 0.500 0.500 0.500
La1 0.000 0.000 0.000

Entry from the Alexandria database: crystalline La8PmCd2 at its relaxed geometry (GGA-PBE).

Results
D(E_F) ... 14.992 states/eV per cell
Formation energy ... -1.5 kJ per mole of atoms
Final energy ... -46.17 eV/f.u.

Cell: 5.995 9.085 8.950 Å, 59.50 78.81 67.53°
Positions (direct):
La1 0.101 0.911 0.782
La2 0.101 0.693 0.218
La3 0.899 0.307 0.782
La4 0.500 0.224 0.552
La5 0.695 0.601 0.000
La6 0.899 0.089 0.218
La7 0.305 0.399 0.000
La8 0.500 0.776 0.448
Pm1 0.500 0.000 0.000
Cd1 0.000 0.306 0.388
Cd2 0.000 0.694 0.612

Entry from the Alexandria database: crystalline La4Pm3Cd4 at its relaxed geometry (GGA-PBE).

Results
D(E_F) ... 14.028 states/eV per cell
Formation energy ... -9.4 kJ per mole of atoms
Final energy ... -38.69 eV/f.u.

Cell: 5.459 7.105 10.149 Å, 110.49 105.60 90.00°
Positions (direct):
Pm1 0.096 0.096 0.191
Pm2 0.904 0.904 0.809
Pm3 0.000 0.500 0.000
La1 0.682 0.450 0.365
La2 0.318 0.085 0.635
La3 0.682 0.915 0.365
La4 0.318 0.550 0.635
Cd1 0.833 0.333 0.665
Cd2 0.500 0.207 0.000
Cd3 0.500 0.793 0.000
Cd4 0.167 0.667 0.335

Entry from the Alexandria database: crystalline La5Pm12Cd2 at its relaxed geometry (GGA-PBE).

Results
D(E_F) ... 26.134 states/eV per cell
Formation energy ... 2.4 kJ per mole of atoms
Final energy ... -83.00 eV/f.u.

Cell: 9.369 9.202 8.706 Å, 93.00 90.00 120.60°
Positions (direct):
Pm1 0.042 0.716 0.763
Pm2 0.555 0.111 0.332
Pm3 0.434 0.254 0.679
Pm4 0.926 0.851 0.117
Pm5 0.325 0.284 0.237
Pm6 0.445 0.889 0.668
Pm7 0.566 0.746 0.321
Pm8 0.820 0.254 0.679
Pm9 0.675 0.716 0.763
Pm10 0.180 0.746 0.321
Pm11 0.074 0.149 0.883
Pm12 0.958 0.284 0.237
Cd1 0.332 0.000 0.000
Cd2 0.668 0.000 0.000
La1 0.232 0.464 0.573
La2 0.702 0.404 0.023
La3 0.298 0.596 0.977
La4 0.000 0.000 0.500
La5 0.768 0.536 0.427

Entry from the Alexandria database: crystalline La2Pm8Cd at its relaxed geometry (GGA-PBE).

Results
D(E_F) ... 16.279 states/eV per cell
Formation energy ... 10.8 kJ per mole of atoms
Final energy ... -47.54 eV/f.u.

Cell: 6.336 10.147 10.147 Å, 38.83 67.35 67.35°
Positions (direct):
Pm1 0.742 0.588 0.588
Pm2 0.267 0.320 0.846
Pm3 0.667 0.188 0.188
Pm4 0.333 0.812 0.812
Pm5 0.733 0.154 0.680
Pm6 0.267 0.846 0.320
Pm7 0.733 0.680 0.154
Pm8 0.258 0.412 0.412
La1 0.927 0.732 0.732
La2 0.073 0.268 0.268
Cd1 0.000 0.000 0.000

Entry from the Alexandria database: crystalline La8Pm2Cd at its relaxed geometry (GGA-PBE).

Results
D(E_F) ... 15.436 states/eV per cell
Formation energy ... 4.1 kJ per mole of atoms
Final energy ... -49.37 eV/f.u.

Cell: 6.199 10.395 10.395 Å, 38.74 67.33 67.33°
Positions (direct):
La1 0.328 0.584 0.110
La2 0.675 0.904 0.904
La3 0.672 0.416 0.890
La4 0.328 0.110 0.584
La5 0.211 0.536 0.536
La6 0.672 0.890 0.416
La7 0.789 0.464 0.464
La8 0.325 0.096 0.096
Pm1 0.088 0.723 0.723
Pm2 0.912 0.277 0.277
Cd1 0.000 0.000 0.000

Entry from the Alexandria database: crystalline LaPm6Cd at its relaxed geometry (GGA-PBE).

Results
D(E_F) ... 13.547 states/eV per cell
Formation energy ... 21.3 kJ per mole of atoms
Final energy ... -32.58 eV/f.u.

Cell: 7.216 7.216 7.164 Å, 104.79 104.79 121.74°
Site moments in Bohr magnetons follow the coordinates.
Positions (direct):
Pm1 0.741 0.741 0.258  0.23
Pm2 0.259 0.259 0.742  0.23
Pm3 0.496 0.047 0.252  0.01
Pm4 0.504 0.953 0.748  0.01
Pm5 0.047 0.496 0.252  0.01
Pm6 0.953 0.504 0.748  0.01
Cd1 0.500 0.500 0.500  0.01
La1 0.000 0.000 0.000  0.19

Entry from the Alexandria database: crystalline LaPm6Cd at its relaxed geometry (GGA-PBE).

Results
D(E_F) ... 11.145 states/eV per cell
Formation energy ... -3.3 kJ per mole of atoms
Final energy ... -34.62 eV/f.u.

Cell: 5.018 5.018 11.027 Å, 76.85 76.85 90.00°
Positions (direct):
Pm1 0.876 0.376 0.247
Pm2 0.747 0.747 0.505
Pm3 0.376 0.876 0.247
Pm4 0.624 0.124 0.753
Pm5 0.124 0.624 0.753
Pm6 0.253 0.253 0.495
La1 0.500 0.500 0.000
Cd1 0.000 0.000 0.000